P | {"formula": "Cu3SiTc", "functional": "PBE", "state": "relaxed", "lattice_angstrom": [[-3.518, -1.781, -1.704], [0.256, -3.217, 2.834], [-2.451, 2.219, 2.741]], "species": ["Cu", "Cu", "Cu", "Si", "Tc"], "frac_coords": [[0.000, 0.000, 0.500], [0.500, 0.000, 0.000], [0.000, 0.500, 0.000], [0.000, 0.000, 0.000], [0.500, 0.500, 0.500]], "m_tot_mub_per_cell": 2.71, "n_ef_per_ev_cell": 3.619}

Q | {"formula": "Cu3SiTc", "functional": "PBE", "state": "relaxed", "lattice_angstrom": [[-3.935, 1.600, 1.812], [1.766, -0.459, 4.242], [1.650, 4.308, -0.220]], "species": ["Cu", "Cu", "Cu", "Si", "Tc"], "frac_coords": [[0.000, 0.000, 0.500], [0.000, 0.500, 0.000], [0.500, 0.000, 0.000], [0.500, 0.500, 0.500], [0.000, 0.000, 0.000]], "m_tot_mub_per_cell": 0.95, "n_ef_per_ev_cell": 5.449}

Winner for stability: P

P | {"formula": "CuSi2Te4", "functional": "PBE", "state": "relaxed", "lattice_angstrom": [[-6.303, -1.623, 1.098], [4.740, -2.227, 4.018], [0.163, 6.557, 0.738]], "species": ["Te", "Te", "Te", "Te", "Si", "Si", "Cu"], "frac_coords": [[0.800, 0.345, 0.145], [0.200, 0.655, 0.855], [0.345, 0.200, 0.545], [0.655, 0.800, 0.455], [0.750, 0.250, 0.500], [0.250, 0.750, 0.500], [0.500, 0.500, 0.000]], "m_tot_mub_per_cell": 0.00, "n_ef_per_ev_cell": 2.957}

Q | {"formula": "CuSi2Te4", "functional": "PBE", "state": "relaxed", "lattice_angstrom": [[-5.865, 0.900, -0.637], [-0.481, -5.190, -2.907], [-0.966, -2.729, 5.033]], "species": ["Si", "Si", "Te", "Te", "Te", "Te", "Cu"], "frac_coords": [[0.000, 0.500, 0.500], [0.500, 0.000, 0.500], [0.737, 0.263, 0.771], [0.263, 0.737, 0.771], [0.737, 0.737, 0.229], [0.263, 0.263, 0.229], [0.000, 0.000, 0.000]], "m_tot_mub_per_cell": 0.00, "n_ef_per_ev_cell": 2.040}

Winner for stability: Q

P | {"formula": "Cu2SiTe4", "functional": "PBE", "state": "relaxed", "lattice_angstrom": [[-5.295, 2.208, -1.872], [1.342, -1.586, -5.666], [-2.302, -4.836, 0.808]], "species": ["Si", "Te", "Te", "Te", "Te", "Cu", "Cu"], "frac_coords": [[0.000, 0.000, 0.000], [0.258, 0.258, 0.240], [0.742, 0.258, 0.760], [0.742, 0.742, 0.240], [0.258, 0.742, 0.760], [0.500, 0.000, 0.500], [0.000, 0.500, 0.500]], "m_tot_mub_per_cell": 0.00, "n_ef_per_ev_cell": 5.045}

Q | {"formula": "Cu2SiTe4", "functional": "PBE", "state": "relaxed", "lattice_angstrom": [[5.524, 0.000, -2.209], [-0.883, 5.452, -2.209], [-0.426, -0.501, 6.945]], "species": ["Te", "Te", "Te", "Te", "Cu", "Cu", "Si"], "frac_coords": [[0.120, 0.120, 0.761], [0.880, 0.359, 0.239], [0.641, 0.641, 0.761], [0.359, 0.880, 0.239], [0.250, 0.750, 0.500], [0.750, 0.250, 0.500], [0.500, 0.500, 0.000]], "m_tot_mub_per_cell": 0.00, "n_ef_per_ev_cell": 3.307}

Winner for stability: Q

P | {"formula": "CuSiTe3", "functional": "PBE", "state": "relaxed", "lattice_angstrom": [[5.092, 0.000, 0.000], [0.000, 5.092, 0.000], [0.000, 0.000, 5.092]], "species": ["Si", "Cu", "Te", "Te", "Te"], "frac_coords": [[0.500, 0.500, 0.500], [0.000, 0.000, 0.000], [0.000, 0.000, 0.500], [0.500, 0.000, 0.000], [0.000, 0.500, 0.000]], "m_tot_mub_per_cell": 0.00, "n_ef_per_ev_cell": 3.315}

Q | {"formula": "CuSiTe3", "functional": "PBE", "state": "relaxed", "lattice_angstrom": [[6.671, 0.228, 0.096], [3.531, 6.270, 0.396], [3.489, 2.537, 6.381]], "species": ["Cu", "Cu", "Te", "Te", "Te", "Te", "Te", "Te", "Si", "Si"], "frac_coords": [[0.369, 0.320, 0.922], [0.631, 0.680, 0.078], [0.046, 0.749, 0.774], [0.229, 0.595, 0.235], [0.447, 0.055, 0.738], [0.553, 0.945, 0.262], [0.771, 0.405, 0.765], [0.954, 0.251, 0.226], [0.858, 0.833, 0.476], [0.142, 0.167, 0.524]], "m_tot_mub_per_cell": 0.00, "n_ef_per_ev_cell": 5.198}

Winner for stability: Q

P | {"formula": "Cu3SiTe4", "functional": "PBE", "state": "relaxed", "lattice_angstrom": [[6.985, 0.000, 0.000], [0.000, 7.254, 0.000], [0.000, 0.000, 8.287]], "species": ["Cu", "Cu", "Cu", "Cu", "Cu", "Cu", "Te", "Te", "Te", "Te", "Te", "Te", "Te", "Te", "Si", "Si"], "frac_coords": [[0.997, 0.668, 0.751], [0.000, 0.158, 0.500], [0.497, 0.332, 0.749], [0.997, 0.668, 0.249], [0.497, 0.332, 0.251], [0.500, 0.842, 0.000], [0.130, 0.828, 0.500], [0.129, 0.336, 0.251], [0.629, 0.664, 0.751], [0.629, 0.664, 0.249], [0.129, 0.336, 0.749], [0.132, 0.834, 0.000], [0.630, 0.172, 0.000], [0.632, 0.166, 0.500], [0.501, 0.834, 0.500], [0.001, 0.166, 0.000]], "m_tot_mub_per_cell": 0.00, "n_ef_per_ev_cell": 7.723}

Q | {"formula": "Cu3SiTe4", "functional": "PBE", "state": "relaxed", "lattice_angstrom": [[0.261, -5.860, -0.893], [1.726, -0.780, 5.623], [-6.704, 2.810, -0.683]], "species": ["Te", "Te", "Te", "Te", "Cu", "Cu", "Cu", "Si"], "frac_coords": [[0.377, 0.377, 0.253], [0.124, 0.623, 0.747], [0.623, 0.124, 0.747], [0.876, 0.876, 0.253], [0.250, 0.750, 0.500], [0.500, 0.500, 0.000], [0.750, 0.250, 0.500], [0.000, 0.000, 0.000]], "m_tot_mub_per_cell": 0.00, "n_ef_per_ev_cell": 4.333}

Winner for stability: Q

P | {"formula": "Th3Cu2Si3", "functional": "PBE", "state": "relaxed", "lattice_angstrom": [[-0.579, 3.436, -2.142], [-4.698, -3.430, -0.328], [-5.797, 6.755, 12.402]], "species": ["Th", "Th", "Th", "Th", "Th", "Th", "Si", "Si", "Si", "Si", "Si", "Si", "Cu", "Cu", "Cu", "Cu"], "frac_coords": [[0.856, 0.713, 0.406], [0.442, 0.883, 0.750], [0.558, 0.117, 0.250], [0.144, 0.287, 0.594], [0.144, 0.287, 0.906], [0.856, 0.713, 0.094], [0.424, 0.848, 0.555], [0.721, 0.443, 0.750], [0.279, 0.557, 0.250], [0.576, 0.152, 0.445], [0.576, 0.152, 0.055], [0.424, 0.848, 0.945], [0.145, 0.291, 0.383], [0.855, 0.709, 0.617], [0.145, 0.291, 0.117], [0.855, 0.709, 0.883]], "m_tot_mub_per_cell": 0.00, "n_ef_per_ev_cell": 12.849}

Q | {"formula": "Th3Cu2Si3", "functional": "PBE", "state": "relaxed", "lattice_angstrom": [[4.219, 0.000, 0.000], [-2.110, 5.434, 0.000], [0.000, 0.000, 14.493]], "species": ["Th", "Th", "Th", "Th", "Th", "Th", "Si", "Si", "Si", "Si", "Si", "Si", "Cu", "Cu", "Cu", "Cu"], "frac_coords": [[0.635, 0.269, 0.250], [0.922, 0.844, 0.110], [0.365, 0.731, 0.750], [0.922, 0.844, 0.390], [0.078, 0.156, 0.890], [0.078, 0.156, 0.610], [0.342, 0.684, 0.250], [0.625, 0.250, 0.042], [0.658, 0.316, 0.750], [0.625, 0.250, 0.458], [0.375, 0.750, 0.542], [0.375, 0.750, 0.958], [0.782, 0.564, 0.595], [0.782, 0.564, 0.905], [0.218, 0.436, 0.405], [0.218, 0.436, 0.095]], "m_tot_mub_per_cell": 0.00, "n_ef_per_ev_cell": 9.280}

Winner for stability: P